No. 1
This record from Alexandria describes a relaxed Hf2NpGa crystal. The functional is PBE-GGA.

Unit cell a=3.1838 b=3.1838 c=29.0526 alpha=90.00 beta=90.00 gamma=120.00
Space group R-3m (No. 166, hexagonal axes)
Symmetry-distinct sites (fractional):
Hf  0.0000  0.0000  0.2451 (multiplicity 6)
Np  0.0000  0.0000  0.0000 (multiplicity 3)
Ga  0.0000  0.0000  0.5000 (multiplicity 3)

Properties
DFT formation energy: 81 meV per atom
Offset from the most stable computed form: 0.078 eV/atom


No. 2
This record from Alexandria describes a relaxed SrGa2BS6 crystal. The functional is PBE-GGA.

Unit cell a=12.513 b=11.895 c=7.494 alpha=90.00 beta=120.10 gamma=90.00
Space group C2/c (No. 15)
Symmetry-distinct sites (fractional):
Sr  0.000  0.150  0.250 (multiplicity 4)
Ga  0.185  0.419  0.076 (multiplicity 8)
B  0.000  0.172  0.750 (multiplicity 4)
S  0.099  0.246  0.008 (multiplicity 8)
S  0.107  0.072  0.696 (multiplicity 8)
S  0.128  0.437  0.344 (multiplicity 8)

Properties
Formation energy from raw total energies: -0.71 eV per atom


No. 3
This record from Alexandria describes a relaxed SrTaPb crystal. The functional is PBE-GGA.

Unit cell a=7.283 b=7.283 c=7.283 alpha=90.00 beta=90.00 gamma=90.00
Space group F-43m (No. 216)
Symmetry-distinct sites (fractional):
Sr  0.000  0.000  0.000 (multiplicity 4)
Ta  0.000  0.000  0.500 (multiplicity 4)
Pb  0.250  0.250  0.750 (multiplicity 4)

Properties
DFT formation energy: 875 meV per atom
Offset from the most stable computed form: 0.359 eV/atom


No. 4
This record from Alexandria describes a relaxed VZnRe crystal. The functional is PBE-GGA.

Unit cell a=3.174 b=3.174 c=8.445 alpha=90.00 beta=90.00 gamma=90.00
Space group I4mm (No. 107)
Symmetry-distinct sites (fractional):
V  0.000  0.000  0.000 (multiplicity 2)
Zn  0.000  0.000  0.675 (multiplicity 2)
Re  0.000  0.000  0.354 (multiplicity 2)

Properties
DFT formation energy: -41 meV per atom
Offset from the most stable computed form: 0.021 eV/atom


No. 5
This record from Alexandria describes a relaxed La7Pm2Pr3 crystal. The functional is PBE-GGA.

Unit cell a=6.633 b=3.636 c=18.158 alpha=90.00 beta=95.90 gamma=90.00
Space group P2/m (No. 10)
Symmetry-distinct sites (fractional):
La  0.000  0.000  0.000 (multiplicity 1)
La  0.220  0.500  0.170 (multiplicity 2)
La  0.260  0.500  0.492 (multiplicity 2)
La  0.275  0.000  0.833 (multiplicity 2)
Pm  0.061  0.500  0.669 (multiplicity 2)
Pr  0.452  0.000  0.336 (multiplicity 2)
Pr  0.500  0.500  0.000 (multiplicity 1)

Properties
DFT formation energy: 58 meV per atom
Offset from the most stable computed form: 0.000 eV/atom


No. 6
This record from Alexandria describes a relaxed KReBr2 crystal. The functional is PBE-GGA.

Unit cell a=3.312 b=4.087 c=7.022 alpha=90.00 beta=90.00 gamma=90.00
Space group Pmmm (No. 47)
Symmetry-distinct sites (fractional):
K  0.000  0.000  0.000 (multiplicity 1)
Re  0.500  0.000  0.500 (multiplicity 1)
Br  0.500  0.500  0.280 (multiplicity 2)

Properties
Formation energy from raw total energies: 0.21 eV per atom
Offset from the most stable computed form: 0.001 eV/atom


No. 7
This record from Alexandria describes a relaxed CdHg crystal. The functional is PBE-GGA.

Unit cell a=11.958 b=3.316 c=5.185 alpha=90.00 beta=110.72 gamma=90.00
Space group C2/m (No. 12)
Symmetry-distinct sites (fractional):
Cd  0.126  0.000  0.276 (multiplicity 4)
Hg  0.122  0.500  0.775 (multiplicity 4)

Properties
DFT formation energy: 23 meV per atom


No. 8
This record from Alexandria describes a relaxed SmPt2Pb crystal. The functional is PBE-GGA.

Unit cell a=4.761 b=4.761 c=3.823 alpha=90.00 beta=90.00 gamma=90.00
Space group P4/mmm (No. 123)
Symmetry-distinct sites (fractional):
Sm  0.000  0.000  0.000 (multiplicity 1)
Pt  0.000  0.500  0.500 (multiplicity 2)
Pb  0.500  0.500  0.000 (multiplicity 1)

Properties
DFT formation energy: -648 meV per atom


No. 9
This record from Alexandria describes a relaxed NaSmP2H4CO7 crystal. The functional is PBE-GGA.

Unit cell a=6.771 b=15.295 c=6.748 alpha=90.00 beta=90.78 gamma=90.00
Space group P2_1/c (No. 14)
Symmetry-distinct sites (fractional):
Na  0.194  0.028  0.137 (multiplicity 4)
Sm  0.325  0.599  0.101 (multiplicity 4)
P  0.179  0.095  0.634 (multiplicity 4)
P  0.472  0.660  0.603 (multiplicity 4)
H  0.007  0.700  0.249 (multiplicity 4)
H  0.158  0.711  0.428 (multiplicity 4)
H  0.183  0.201  0.892 (multiplicity 4)
H  0.312  0.240  0.681 (multiplicity 4)
C  0.290  0.183  0.778 (multiplicity 4)
O  0.004  0.633  0.969 (multiplicity 4)
O  0.079  0.668  0.351 (multiplicity 4)
O  0.138  0.017  0.775 (multiplicity 4)
O  0.330  0.060  0.479 (multiplicity 4)
O  0.356  0.602  0.745 (multiplicity 4)
O  0.371  0.750  0.067 (multiplicity 4)
O  0.490  0.114  0.096 (multiplicity 4)


No. 10
This record from Alexandria describes a relaxed CsAl2GeCl8 crystal. The functional is PBE-GGA.

Unit cell a=6.5962 b=6.5962 c=31.4161 alpha=90.00 beta=90.00 gamma=120.00
Space group R-3 (No. 148, hexagonal axes)
Symmetry-distinct sites (fractional):
Cs  0.0000  0.0000  0.0000 (multiplicity 3)
Al  0.0000  0.0000  0.2517 (multiplicity 6)
Ge  0.0000  0.0000  0.5000 (multiplicity 3)
Cl  0.0000  0.0000  0.3206 (multiplicity 6)
Cl  0.0063  0.3153  0.7696 (multiplicity 18)

Properties
Formation energy from raw total energies: -1.34 eV per atom


No. 11
This record from Alexandria describes a relaxed Sr4BiI5 crystal. The functional is PBE-GGA.

Unit cell a=20.911 b=4.845 c=9.537 alpha=90.00 beta=104.92 gamma=90.00
Space group C2/m (No. 12)
Symmetry-distinct sites (fractional):
Sr  0.003  0.000  0.241 (multiplicity 4)
Sr  0.164  0.500  0.103 (multiplicity 4)
Bi  0.000  0.500  0.000 (multiplicity 2)
I  0.000  0.500  0.500 (multiplicity 2)
I  0.168  0.000  0.340 (multiplicity 4)
I  0.169  0.000  0.856 (multiplicity 4)

Properties
Formation energy from raw total energies: -1.53 eV per atom


No. 12
This record from Alexandria describes a relaxed TlOsBr2 crystal. The functional is PBE-GGA.

Unit cell a=7.320 b=7.320 c=7.320 alpha=90.00 beta=90.00 gamma=90.00
Space group F-43m (No. 216)
Symmetry-distinct sites (fractional):
Tl  0.000  0.000  0.000 (multiplicity 4)
Os  0.250  0.250  0.750 (multiplicity 4)
Br  0.000  0.000  0.500 (multiplicity 4)
Br  0.250  0.250  0.250 (multiplicity 4)

Properties
Formation energy from raw total energies: 1.23 eV per atom
Offset from the most stable computed form: 0.954 eV/atom


No. 13
This record from Alexandria describes a relaxed Co2PtW crystal. The functional is PBE-GGA.

Unit cell a=5.929 b=5.929 c=5.929 alpha=90.00 beta=90.00 gamma=90.00
Space group Fm-3m (No. 225)
Symmetry-distinct sites (fractional):
Co  0.250  0.250  0.250 (multiplicity 8)
Pt  0.000  0.000  0.000 (multiplicity 4)
W  0.000  0.000  0.500 (multiplicity 4)

Properties
DFT formation energy: 29 meV per atom
Offset from the most stable computed form: 0.150 eV/atom


No. 14
This record from Alexandria describes a relaxed CsRbCdHg2 crystal. The functional is PBE-GGA.

Unit cell a=6.000 b=6.000 c=6.659 alpha=90.00 beta=90.00 gamma=90.00
Space group P4/mmm (No. 123)
Symmetry-distinct sites (fractional):
Cs  0.000  0.000  0.000 (multiplicity 1)
Rb  0.500  0.500  0.000 (multiplicity 1)
Cd  0.000  0.000  0.500 (multiplicity 1)
Hg  0.000  0.500  0.500 (multiplicity 2)

Properties
DFT formation energy: -2 meV per atom
Offset from the most stable computed form: 0.103 eV/atom


No. 15
This record from Alexandria describes a relaxed Ga2BiTe2 crystal. The functional is PBE-GGA.

Unit cell a=5.533 b=5.533 c=8.855 alpha=90.00 beta=90.00 gamma=90.00
Space group I4/mmm (No. 139)
Symmetry-distinct sites (fractional):
Ga  0.000  0.000  0.143 (multiplicity 4)
Bi  0.000  0.000  0.500 (multiplicity 2)
Te  0.000  0.500  0.250 (multiplicity 4)

Properties
Formation energy from raw total energies: 0.02 eV per atom
Offset from the most stable computed form: 0.040 eV/atom


No. 16
This record from Alexandria describes a relaxed Na2Tl13 crystal. The functional is PBE-GGA.

Unit cell a=8.8862 b=8.8862 c=24.3189 alpha=90.00 beta=90.00 gamma=120.00
Space group R-3m (No. 166, hexagonal axes)
Symmetry-distinct sites (fractional):
Na  0.0000  0.0000  0.2401 (multiplicity 6)
Tl  0.0000  0.0000  0.0000 (multiplicity 3)
Tl  0.0805  0.5402  0.5591 (multiplicity 18)
Tl  0.0871  0.5435  0.3006 (multiplicity 18)

Properties
DFT formation energy: 100 meV per atom


No. 17
This record from Alexandria describes a relaxed Y2Al3CuPt4 crystal. The functional is PBE-GGA.

Unit cell a=4.069 b=4.069 c=11.045 alpha=90.00 beta=90.00 gamma=90.00
Space group P-4m2 (No. 115)
Symmetry-distinct sites (fractional):
Y  0.000  0.500  0.243 (multiplicity 2)
Al  0.000  0.000  0.000 (multiplicity 1)
Al  0.000  0.500  0.632 (multiplicity 2)
Cu  0.500  0.500  0.000 (multiplicity 1)
Pt  0.000  0.000  0.500 (multiplicity 1)
Pt  0.000  0.500  0.855 (multiplicity 2)
Pt  0.500  0.500  0.500 (multiplicity 1)

Properties
DFT formation energy: -1003 meV per atom


No. 18
This record from Alexandria describes a relaxed BiIrI2 crystal. The functional is PBE-GGA.

Unit cell a=11.138 b=11.138 c=5.194 alpha=90.00 beta=90.00 gamma=90.00
Space group I-42d (No. 122)
Symmetry-distinct sites (fractional):
Bi  0.000  0.000  0.000 (multiplicity 4)
Ir  0.000  0.000  0.500 (multiplicity 4)
I  0.002  0.750  0.625 (multiplicity 8)

Properties
Formation energy from raw total energies: 0.36 eV per atom
Offset from the most stable computed form: 0.000 eV/atom


No. 19
This record from Alexandria describes a relaxed Cd2SnCl6 crystal. The functional is PBE-GGA.

Unit cell a=6.7997 b=6.7997 c=6.2312 alpha=90.00 beta=90.00 gamma=120.00
Space group P-31m (No. 162)
Symmetry-distinct sites (fractional):
Cd  0.3333  0.6667  0.0000 (multiplicity 2)
Sn  0.0000  0.0000  0.5000 (multiplicity 1)
Cl  0.0000  0.3503  0.2390 (multiplicity 6)

Properties
Formation energy from raw total energies: -1.04 eV per atom
Offset from the most stable computed form: 0.000 eV/atom


No. 20
This record from Alexandria describes a relaxed CdGeTeI2 crystal. The functional is PBE-GGA.

Unit cell a=5.692 b=5.692 c=5.618 alpha=90.00 beta=90.00 gamma=90.00
Space group P4/mmm (No. 123)
Symmetry-distinct sites (fractional):
Cd  0.000  0.000  0.000 (multiplicity 1)
Ge  0.500  0.500  0.500 (multiplicity 1)
Te  0.500  0.500  0.000 (multiplicity 1)
I  0.000  0.500  0.500 (multiplicity 2)

Properties
Formation energy from raw total energies: 0.15 eV per atom
Offset from the most stable computed form: 0.000 eV/atom


No. 21
This record from Alexandria describes a relaxed TiVHgI6 crystal. The functional is PBE-GGA.

Unit cell a=7.145 b=12.376 c=9.491 alpha=90.00 beta=90.69 gamma=90.00
Space group C2 (No. 5)
Symmetry-distinct sites (fractional):
Ti  0.000  0.000  0.000 (multiplicity 2)
V  0.000  0.667  0.000 (multiplicity 2)
Hg  0.000  0.333  0.500 (multiplicity 2)
I  0.132  0.834  0.831 (multiplicity 4)
I  0.179  0.151  0.831 (multiplicity 4)
I  0.180  0.516  0.831 (multiplicity 4)

Properties
Formation energy from raw total energies: -0.55 eV per atom


No. 22
This record from Alexandria describes a relaxed Na3YMg crystal. The functional is PBE-GGA.

Unit cell a=5.678 b=5.678 c=5.678 alpha=90.00 beta=90.00 gamma=90.00
Space group Pm-3m (No. 221)
Symmetry-distinct sites (fractional):
Na  0.000  0.000  0.500 (multiplicity 3)
Y  0.500  0.500  0.500 (multiplicity 1)
Mg  0.000  0.000  0.000 (multiplicity 1)

Properties
DFT formation energy: 610 meV per atom
Offset from the most stable computed form: 0.000 eV/atom


No. 23
This record from Alexandria describes a relaxed CeYTm2 crystal. The functional is PBE-GGA.

Unit cell a=3.5027 b=3.5027 c=34.2882 alpha=90.00 beta=90.00 gamma=120.00
Space group R-3m (No. 166, hexagonal axes)
Symmetry-distinct sites (fractional):
Ce  0.0000  0.0000  0.0000 (multiplicity 3)
Y  0.0000  0.0000  0.5000 (multiplicity 3)
Tm  0.0000  0.0000  0.2511 (multiplicity 6)

Properties
DFT formation energy: 57 meV per atom
Offset from the most stable computed form: 0.030 eV/atom


Size of the total moment list, top to bottom, in μB per cell: 11.28; 4.05; 10.73; 0.00; 0.00; 0.62; 0.00; 0.00; 0.00; 3.00; 0.00; 12.41; 0.00; 0.00; 0.00; 0.00; 0.00; 0.00; 0.00; 0.00; 6.00; 0.22; 2.01
E list, top to bottom, in eV per atom: -8.888; -4.628; -4.873; -7.655; -4.803; -4.015; -0.585; -5.776; -6.491; -3.648; -3.364; -3.004; -8.273; -0.670; -3.224; -2.126; -6.245; -3.603; -2.922; -2.205; -3.505; -1.793; -5.279
V list, top to bottom, in Å³ per cell: 255; 965; 386; 85; 436; 95; 192; 87; 699; 1184; 934; 392; 208; 240; 271; 1663; 183; 644; 250; 182; 839; 183; 364